# 1
This record from Alexandria via LeMat-Bulk describes an optimized crystal structure of AlRh2I. The functional is PBE.

abc: 4.5657 4.5657 4.5657
angles: 60.00 60.00 60.00
Sites, in units of the cell vectors:
I  0.5000  0.5000  0.5000
Rh  0.2500  0.2500  0.2500
Rh  0.7500  0.7500  0.7500
Al  0.0000  0.0000  0.0000

Output
volume	67.30	Å³ per cell
size of the total moment	0.000	μB/f.u.
space-group type	Fm-3m (225)
energy above the most stable polymorph in this dataset	0.000	eV/atom
formation energy without anion corrections	3.69	kcal/mol of atoms

# 2
This record from Alexandria via LeMat-Bulk describes an optimized crystal structure of Be2InFe. The functional is PBE.

abc: 3.8505 2.6924 5.0188
angles: 93.49 90.00 90.00
Each line ends with the local moment (μB).
Sites, in units of the cell vectors:
Be  0.0000  0.9279  0.0766  -0.04
Be  0.0000  0.5721  0.4234  -0.04
Fe  0.5000  0.2500  0.2500  1.71
In  0.5000  0.7500  0.7500  -0.03

Output
volume	51.93	Å³ per cell
formation enthalpy at 0 K	7.239	kcal/mol of atoms
size of the total moment	1.557	μB/f.u.
space-group type	P2/m (10)

# 3
This record from Alexandria via LeMat-Bulk describes an optimized crystal structure of Cs3Th3CuSe8. The functional is PBE.

abc: 9.0645 8.4860 9.4888
angles: 113.10 90.00 122.28
Sites, in units of the cell vectors:
Cs  0.0000  0.0000  0.0000
Cs  0.0000  0.5000  0.0000
Cs  0.5000  0.5000  0.0000
Th  0.5000  0.0000  0.5000
Th  0.5000  0.5000  0.5000
Th  0.0000  0.5000  0.5000
Cu  0.0000  0.0000  0.5000
Se  0.2683  0.5366  0.3066
Se  0.7317  0.4634  0.6934
Se  0.8103  0.6206  0.3509
Se  0.1897  0.3794  0.6491
Se  0.7463  0.0608  0.2997
Se  0.2537  0.9392  0.7003
Se  0.3145  0.0608  0.2997
Se  0.6855  0.9392  0.7003

Output
volume	546.59	Å³ per cell
size of the total moment	0.000	μB/f.u.
space-group type	C2/m (12)
formation energy without anion corrections	-32.35	kcal/mol of atoms

# 4
This record from Alexandria via LeMat-Bulk describes an optimized crystal structure of Hf5In2Mo. The functional is PBE.

abc: 5.0156 5.0156 7.5748
angles: 109.33 109.33 90.00
Sites, in units of the cell vectors:
Hf  0.5000  0.5000  0.0000
Hf  0.8839  0.3839  0.7677
Hf  0.3839  0.8839  0.7677
Hf  0.1161  0.6161  0.2323
Hf  0.6161  0.1161  0.2323
In  0.7503  0.7503  0.5006
In  0.2497  0.2497  0.4994
Mo  0.0000  0.0000  0.0000

Output
volume	168.37	Å³ per cell
formation enthalpy at 0 K	-2.214	kcal/mol of atoms
size of the total moment	0.000	μB/f.u.
space-group type	I4/mmm (139)

# 5
This record from Alexandria via LeMat-Bulk describes an optimized crystal structure of ZrSb3Ru. The functional is PBE.

abc: 5.1016 5.1016 5.1016
angles: 90.00 90.00 90.00
Sites, in units of the cell vectors:
Sb  0.0000  0.5000  0.0000
Sb  0.0000  0.0000  0.5000
Sb  0.5000  0.0000  0.0000
Zr  0.5000  0.5000  0.5000
Ru  0.0000  0.0000  0.0000

Output
volume	132.78	Å³ per cell
size of the total moment	0.000	μB/f.u.
space-group type	Pm-3m (221)
energy above the most stable polymorph in this dataset	0.000	eV/atom
formation energy without anion corrections	12.93	kcal/mol of atoms

# 6
This record from Alexandria via LeMat-Bulk describes an optimized crystal structure of AcTe3Au2. The functional is PBE.

abc: 4.5480 6.9321 12.8617
angles: 103.94 100.18 90.00
Sites, in units of the cell vectors:
Ac  0.3652  0.0699  0.7304
Ac  0.6348  0.9301  0.2696
Te  0.2366  0.1732  0.4733
Te  0.0409  0.7698  0.0818
Te  0.3897  0.6019  0.7795
Te  0.7634  0.8268  0.5267
Te  0.6103  0.3981  0.2205
Te  0.9591  0.2302  0.9182
Au  0.2798  0.6095  0.5597
Au  0.7202  0.3905  0.4403
Au  0.9286  0.8239  0.8573
Au  0.0714  0.1761  0.1427

Output
volume	386.96	Å³ per cell
size of the total moment	0.000	μB/f.u.
space-group type	C2/m (12)
formation energy without anion corrections	-14.38	kcal/mol of atoms

# 7
This record from Alexandria via LeMat-Bulk describes an optimized crystal structure of CaLaCuN2. The functional is PBE.

abc: 4.2676 7.8320 4.2676
angles: 90.00 90.00 90.00
Sites, in units of the cell vectors:
Ca  0.0000  0.5000  0.0000
N  0.0000  0.0000  0.5000
N  0.5000  0.0000  0.0000
Cu  0.5000  0.5000  0.5000
La  0.0000  0.0000  0.0000

Output
volume	142.64	Å³ per cell
size of the total moment	0.125	μB/f.u.
space-group type	P4/mmm (123)
energy above the most stable polymorph in this dataset	1.588	eV/atom
formation energy without anion corrections	21.01	kcal/mol of atoms